# 1
! BeVPO2, optimized geometry, DFT PBE with a Hubbard U; values from VASP
&SYSTEM
  ibrav = 0, nat = 5, ntyp = 4
/
ATOMIC_SPECIES
P 30.97 P.upf
Be 9.01 Be.upf
O 16.00 O.upf
V 50.94 V.upf
ATOMIC_POSITIONS angstrom
P 1.017 -1.970 1.476
Be 0.000 0.000 0.000
O 1.397 0.060 -0.883
O -0.619 -1.111 -1.056
V 1.795 -3.021 -0.462
CELL_PARAMETERS angstrom
-1.239 -2.222 -2.112
2.794 0.120 -1.765
2.035 -3.940 2.952
! symmetry: P4/mmm
! total moment: 0.00 μB per cell
! energy above the lowest structure with this stoichiometry: 445 meV per atom
! D(E_F): 4.4 states/eV per cell

=====

# 2
! BeVPO2, optimized geometry, DFT PBE with a Hubbard U; values from VASP
&SYSTEM
  ibrav = 0, nat = 5, ntyp = 4
/
ATOMIC_SPECIES
P 30.97 P.upf
Be 9.01 Be.upf
O 16.00 O.upf
V 50.94 V.upf
ATOMIC_POSITIONS angstrom
P -0.047 2.541 0.273
Be -0.244 2.266 2.799
O 1.172 -0.125 1.364
O -1.369 -0.150 1.163
V 0.000 0.000 0.000
CELL_PARAMETERS angstrom
-2.738 -0.300 2.326
2.344 -0.249 2.727
-0.094 5.081 0.545
! symmetry: P4/mmm
! total moment: 0.00 μB per cell
! energy above the lowest structure with this stoichiometry: 0 meV per atom
! D(E_F): 1.0 states/eV per cell

=====

# 3
! BeVP2O, optimized geometry, DFT PBE with a Hubbard U; values from VASP
&SYSTEM
  ibrav = 0, nat = 5, ntyp = 4
/
ATOMIC_SPECIES
P 30.97 P.upf
Be 9.01 Be.upf
O 16.00 O.upf
V 50.94 V.upf
ATOMIC_POSITIONS angstrom
P -1.907 -1.371 -0.618
P -1.494 1.612 1.033
Be 0.000 0.000 0.000
O 0.104 -0.712 1.259
V -3.297 -0.471 1.675
CELL_PARAMETERS angstrom
-2.988 3.223 2.067
-3.813 -2.742 -1.236
0.207 -1.423 2.519
! symmetry: P4/mmm
! total moment: 2.58 μB per cell
! energy above the lowest structure with this stoichiometry: 0 meV per atom
! D(E_F): 2.8 states/eV per cell

=====

# 4
! BeVP2O, optimized geometry, DFT PBE with a Hubbard U; values from VASP
&SYSTEM
  ibrav = 0, nat = 5, ntyp = 4
/
ATOMIC_SPECIES
P 30.97 P.upf
Be 9.01 Be.upf
O 16.00 O.upf
V 50.94 V.upf
ATOMIC_POSITIONS angstrom
P -1.467 -1.012 -1.529
P -0.755 -1.451 1.685
Be -0.952 -3.636 -0.285
O 1.269 -1.173 -0.441
V 0.000 0.000 0.000
CELL_PARAMETERS angstrom
-1.509 -2.902 3.370
-2.933 -2.025 -3.057
2.538 -2.345 -0.882
! symmetry: P4/mmm
! total moment: 0.00 μB per cell
! energy above the lowest structure with this stoichiometry: 361 meV per atom
! D(E_F): 2.8 states/eV per cell

=====

# 5
! BeP2WO, optimized geometry, DFT PBE with a Hubbard U; values from VASP
&SYSTEM
  ibrav = 0, nat = 5, ntyp = 4
/
ATOMIC_SPECIES
P 30.97 P.upf
O 16.00 O.upf
W 183.84 W.upf
Be 9.01 Be.upf
ATOMIC_POSITIONS angstrom
P -2.197 -0.041 1.034
P -0.299 2.348 -0.542
O 0.585 0.365 1.258
W -1.910 2.672 1.750
Be 0.000 0.000 0.000
CELL_PARAMETERS angstrom
-0.598 4.696 -1.085
-4.393 -0.082 2.069
1.171 0.730 2.516
! symmetry: P4/mmm
! total moment: 1.13 μB per cell
! energy above the lowest structure with this stoichiometry: 0 meV per atom
! D(E_F): 3.4 states/eV per cell

=====

# 6
! BePWO2, optimized geometry, DFT PBE with a Hubbard U; values from VASP
&SYSTEM
  ibrav = 0, nat = 5, ntyp = 4
/
ATOMIC_SPECIES
P 30.97 P.upf
O 16.00 O.upf
W 183.84 W.upf
Be 9.01 Be.upf
ATOMIC_POSITIONS angstrom
P 0.000 0.000 2.647
O 0.000 1.899 0.000
O 1.899 0.000 0.000
W 0.000 0.000 0.000
Be 1.899 1.899 2.647
CELL_PARAMETERS angstrom
3.798 0.000 0.000
0.000 3.798 0.000
0.000 0.000 5.294
! symmetry: P4/mmm
! total moment: 0.83 μB per cell
! energy above the lowest structure with this stoichiometry: 0 meV per atom
! D(E_F): 0.9 states/eV per cell

=====

# 7
! BeP2WO, optimized geometry, DFT PBE with a Hubbard U; values from VASP
&SYSTEM
  ibrav = 0, nat = 5, ntyp = 4
/
ATOMIC_SPECIES
P 30.97 P.upf
O 16.00 O.upf
W 183.84 W.upf
Be 9.01 Be.upf
ATOMIC_POSITIONS angstrom
P 0.000 2.421 0.000
P 2.421 0.000 0.000
O 0.000 0.000 1.894
W 0.000 0.000 0.000
Be 2.421 2.421 1.894
CELL_PARAMETERS angstrom
4.843 0.000 0.000
0.000 4.843 0.000
0.000 0.000 3.789
! symmetry: P4/mmm
! total moment: 0.27 μB per cell
! energy above the lowest structure with this stoichiometry: 195 meV per atom
! D(E_F): 1.1 states/eV per cell

=====

# 8
! BePWO2, optimized geometry, DFT PBE with a Hubbard U; values from VASP
&SYSTEM
  ibrav = 0, nat = 5, ntyp = 4
/
ATOMIC_SPECIES
P 30.97 P.upf
O 16.00 O.upf
W 183.84 W.upf
Be 9.01 Be.upf
ATOMIC_POSITIONS angstrom
P -0.839 -2.063 0.103
O 1.513 -0.650 -0.682
O -0.661 0.187 -1.644
W 0.012 -2.526 -2.222
Be 0.000 0.000 0.000
CELL_PARAMETERS angstrom
-1.322 0.373 -3.288
3.025 -1.299 -1.363
-1.679 -4.126 0.207
! symmetry: P4/mmm
! total moment: 0.99 μB per cell
! energy above the lowest structure with this stoichiometry: 486 meV per atom
! D(E_F): 1.7 states/eV per cell